No. 1
Cs2KInPt | GGA-PBE | optimized geometry

a = 6.9074 Å, b = 6.9074 Å, c = 5.2961 Å
α = 90.00°, β = 90.00°, γ = 90.00°
Positions (direct):
Cs 0.0000 0.5000 0.0000
Cs 0.5000 0.0000 0.0000
K 0.0000 0.0000 0.5000
In 0.5000 0.5000 0.5000
Pt 0.5000 0.5000 0.0000

final energy	-11.914	eV for the cell shown
total magnetization	0.00	μB per atom
N(E_F)	2.88	states/eV/cell

---

No. 2
NbV2Ru3 | GGA-PBE | optimized geometry

a = 2.9573 Å, b = 2.9573 Å, c = 9.9629 Å
α = 90.00°, β = 90.00°, γ = 90.00°
Positions (direct):
Nb 0.0000 0.0000 0.0000
V 0.0000 0.0000 0.3410
V 0.0000 0.0000 0.6590
Ru 0.5000 0.5000 0.2009
Ru 0.5000 0.5000 0.5000
Ru 0.5000 0.5000 0.7991

final energy	-57.776	eV for the cell shown
total magnetization	0.00	μB per atom
N(E_F)	5.14	states/eV/cell

---

No. 3
PuZrPa2 | GGA-PBE | optimized geometry

a = 3.5502 Å, b = 3.5502 Å, c = 26.2908 Å
α = 90.00°, β = 90.00°, γ = 120.00°
Positions (direct):
Pu 0.0000 0.0000 0.0000
Pu 0.3333 0.6667 0.6667
Pu 0.6667 0.3333 0.3333
Zr 0.0000 0.0000 0.8394
Zr 0.3333 0.6667 0.5061
Zr 0.6667 0.3333 0.1727
Pa 0.0000 0.0000 0.2756
Pa 0.0000 0.0000 0.4079
Pa 0.3333 0.6667 0.0745
Pa 0.3333 0.6667 0.9423
Pa 0.6667 0.3333 0.6089
Pa 0.6667 0.3333 0.7412

total magnetization	0.55	μB per atom
N(E_F)	26.85	states/eV/cell
energy above the lowest structure with this stoichiometry	25.7	kJ/mol of atoms